No. 1
This record from Alexandria via LeMat-Bulk describes crystalline Ho4Zn2I5 at its relaxed geometry. The functional is PBE.

```
11
Lattice="-2.588 2.839 1.065 -5.987 -3.726 -4.613 -2.476 -8.287 8.613" Properties=species:S:1:pos:R:3 pbc="T T T"
Zn -6.576 -8.146 5.738
Zn -4.475 -1.028 -0.672
I -6.155 -5.162 -1.196
I -3.485 -4.083 2.417
I -7.565 -5.091 2.649
I -4.895 -4.012 6.262
I -1.294 1.420 0.533
Ho -5.136 -6.242 4.159
Ho -4.428 -3.013 -2.725
Ho -6.623 -6.161 7.791
Ho -5.915 -2.933 0.907
```

Results
* energy relative to the elements, uncorrected: -8.5 eV per formula unit
* SG: No. 12

=====

No. 2
This record from Alexandria via LeMat-Bulk describes crystalline CaPrSe2 at its relaxed geometry. The functional is PBE.

```
4
Lattice="-2.350 -1.344 3.116 0.039 -3.994 1.041 4.786 -0.489 6.132" Properties=species:S:1:pos:R:3 pbc="T T T"
Ca 1.300 -2.899 5.198
Se 3.368 -0.818 4.920
Se 0.625 -1.455 2.577
Pr 3.206 -4.056 8.869
```

Results
* excess energy over the best structure of this formula in the dataset: 91 meV per atom
* energy relative to the elements, uncorrected: -7.3 eV per formula unit
* SG: No. 160

=====

Ordered final energy results: -37.11, -21.02; unit eV per cell.